w) The following is a DFT calculation (PBE-GGA) of a relaxed structure of LiTiTl.

Cell lengths 3.346, 3.346, 10.245 Å; angles 90.00, 90.00, 90.00 degrees
Space group P4mm (No. 99)
One atom of each set of equivalent atoms:
Li: 0.000 0.000 0.000
Li: 0.000 0.000 0.331
Ti: 0.000 0.000 0.650
Ti: 0.500 0.500 0.503
Tl: 0.500 0.500 0.182
Tl: 0.500 0.500 0.830



x) The following is a DFT calculation (PBE-GGA) of a relaxed structure of LiTiTl.

Cell lengths 4.8735, 4.8735, 3.0324 Å; angles 90.00, 90.00, 120.00 degrees
Space group P-6m2 (No. 187)
One atom of each set of equivalent atoms:
Li: 0.0000 0.0000 0.0000
Ti: 0.6667 0.3333 0.5000
Tl: 0.3333 0.6667 0.5000



Tell me which of them is the least stable. Sure, it is x).



w) The following is a DFT calculation (PBE-GGA) of a relaxed structure of LiTiTl.

Cell lengths 3.152, 4.968, 7.530 Å; angles 90.00, 102.03, 90.00 degrees
Space group Pm (No. 6)
One atom of each set of equivalent atoms:
Li: 0.000 0.000 0.000
Li: 0.330 0.000 0.661
Ti: 0.191 0.500 0.384
Ti: 0.539 0.500 0.079
Tl: 0.656 0.000 0.313
Tl: 0.869 0.500 0.742



x) The following is a DFT calculation (PBE-GGA) of a relaxed structure of LiTiTl.

Cell lengths 4.3093, 4.3093, 11.1019 Å; angles 90.00, 90.00, 120.00 degrees
Space group P6_3/mmc (No. 194)
One atom of each set of equivalent atoms:
Li: 0.3333 0.6667 0.2500
Ti: 0.0000 0.0000 0.0000
Tl: 0.0000 0.0000 0.2500



y) The following is a DFT calculation (PBE-GGA) of a relaxed structure of LiTiTl.

Cell lengths 3.039, 5.053, 8.176 Å; angles 77.91, 79.42, 72.68 degrees
Space group P-1 (No. 2)
One atom of each set of equivalent atoms:
Li: 0.159 0.260 0.420
Ti: 0.171 0.729 0.930
Tl: 0.491 0.763 0.256



Tell me which of them is the least stable. Sure, it is x).